Compound: Mg5ScCu6
Source: Alexandria
Functional: PBE-GGA
Structure: optimized geometry

Cell: 4.4802 6.3980 7.0813 Å, 90.00 109.21 90.00°
Element x y z (fractional)
Cu1 0.8376 0.7449 0.6673
Cu2 0.5000 0.2463 0.0000
Cu3 0.5000 0.7537 0.0000
Cu4 0.1624 0.2551 0.3327
Cu5 0.1624 0.7449 0.3327
Cu6 0.8376 0.2551 0.6673
Mg1 0.6677 0.0000 0.3385
Mg2 0.3323 0.0000 0.6615
Mg3 0.0000 0.5000 0.0000
Mg4 0.6619 0.5000 0.3285
Mg5 0.3381 0.5000 0.6715
Sc1 0.0000 0.0000 0.0000

## Properties
ΔH_f (0 K)	-1.5	eV/f.u.
crystal system	monoclinic
space group	P2/m (10)
total magnetization	0.00	μB per formula unit